No. 1
Ac3HgS | GGA-PBE | relaxed

## Properties
For the density of states at the Fermi level, the calculation gives 0.806 states/eV per atom. The total DFT energy (no corrections) comes out at -4.06 eV/atom.

The structure in POSCAR format:
```
Ac3HgS
1.0
5.734 0.000 0.000
0.000 5.734 0.000
0.000 0.000 5.734
S Ac Hg
1 3 1
Direct
0.000 0.000 0.000
0.000 0.500 0.000
0.000 0.000 0.500
0.500 0.000 0.000
0.500 0.500 0.500
```

---

No. 2
Ac2HgS | GGA-PBE | relaxed

## Properties
For the density of states at the Fermi level, the calculation gives 0.718 states/eV per atom. For the relative energy among the computed polymorphs, the calculation gives 0.000 eV per atom.

The structure in POSCAR format:
```
Ac2HgS
1.0
4.395 0.000 0.000
2.197 3.806 0.000
2.197 1.269 7.886
S Ac Hg
1 2 1
Direct
0.000 0.000 0.000
0.741 0.741 0.778
0.259 0.259 0.222
0.500 0.500 0.500
```

---

No. 3
Ac4Hg2S | GGA-PBE | relaxed

## Properties
For the density of states at the Fermi level, the calculation gives 0.610 states/eV per atom. For the relative energy among the computed polymorphs, the calculation gives 0.122 eV per atom.

The structure in POSCAR format:
```
Ac4Hg2S
1.0
5.788 0.000 0.000
0.000 5.788 0.000
-2.894 -2.894 7.958
S Ac Hg
1 4 2
Direct
0.000 0.000 0.000
0.808 0.808 0.616
0.192 0.192 0.384
0.000 0.500 0.000
0.500 0.000 0.000
0.609 0.609 0.219
0.391 0.391 0.781
```

---

No. 4
Ac4Hg2S | GGA-PBE | relaxed

## Properties
For the density of states at the Fermi level, the calculation gives 0.979 states/eV per atom. For the relative energy among the computed polymorphs, the calculation gives 0.000 eV per atom.

The structure in POSCAR format:
```
Ac4Hg2S
1.0
4.208 0.000 1.274
1.754 7.025 1.794
-0.223 0.442 8.323
Ac Hg S
4 2 1
Direct
0.089 0.201 0.622
0.911 0.799 0.378
0.334 0.252 0.080
0.666 0.748 0.920
0.378 0.563 0.682
0.622 0.437 0.318
0.000 0.000 0.000
```

---

No. 5
Ac3HgS6 | GGA-PBE | relaxed

## Properties
For the density of states at the Fermi level, the calculation gives 1.158 states/eV per atom. The total DFT energy (no corrections) comes out at -5.31 eV/atom.

The structure in POSCAR format:
```
Ac3HgS6
1.0
6.954 0.000 0.000
0.000 9.327 0.022
0.000 -2.060 9.096
Ac Hg S
6 2 12
Direct
0.472 0.919 0.711
0.972 0.711 0.919
0.408 0.393 0.607
0.908 0.607 0.393
0.972 0.081 0.289
0.472 0.289 0.081
0.013 0.195 0.805
0.513 0.805 0.195
0.190 0.677 0.642
0.690 0.642 0.677
0.204 0.436 0.905
0.704 0.905 0.436
0.175 0.030 0.970
0.657 0.220 0.780
0.157 0.780 0.220
0.675 0.970 0.030
0.204 0.095 0.564
0.704 0.564 0.095
0.190 0.358 0.323
0.690 0.323 0.358
```

---

No. 6
Ac2HgS | GGA-PBE | relaxed

## Properties
For the density of states at the Fermi level, the calculation gives 0.576 states/eV per atom. For the relative energy among the computed polymorphs, the calculation gives 0.029 eV per atom.

The structure in POSCAR format:
```
Ac2HgS
1.0
-2.628 -3.366 -0.165
0.225 -3.035 3.000
-6.359 1.982 5.526
Ac Hg S
2 1 1
Direct
0.072 0.072 0.785
0.261 0.261 0.218
0.499 0.499 0.502
0.668 0.668 0.995
```